Entry i
Material: Ho4Er5Th
Method: DFT, PBE
State: optimized geometry

The structure in POSCAR format:
```
Ho4Er5Th
1.0
-5.0515 5.0515 3.1605
5.0515 -5.0515 3.1605
5.0515 5.0515 -3.1605
Ho Er Th
4 5 1
Cartesian
3.5042 0.5159 0.0000
4.5355 -1.5473 3.1605
0.5159 6.5987 0.0000
1.5473 4.5355 3.1605
0.0000 0.0000 1.5296
6.4966 2.6881 0.0034
2.6881 3.6063 0.0034
2.3634 1.4452 3.1639
-1.4452 2.3634 3.1639
0.0000 0.0000 4.9024
```

Summary:
M_tot = 0.0 Bohr magnetons per cell
space-group type = No. 79
crystal system = tetragonal



Entry ii
Material: Ho4Er5Th
Method: DFT, PBE
State: optimized geometry

The structure in POSCAR format:
```
Ho4Er5Th
1.0
8.5032 -1.7646 0.0000
8.5032 1.7646 0.0000
-0.0976 0.0000 10.8614
Ho Er Th
4 5 1
Cartesian
0.4081 0.0000 2.6987
5.9087 0.0000 2.7566
11.0001 0.0000 8.1047
16.5008 0.0000 8.1627
2.8769 0.0000 4.8727
2.9437 0.0000 0.5267
8.5032 0.0000 0.0000
13.9652 0.0000 10.3347
14.0319 0.0000 5.9887
8.4544 0.0000 5.4307
```

Summary:
M_tot = 0.0 Bohr magnetons per cell
space-group type = No. 12
crystal system = monoclinic



Short version: entry i is the least stable of them.



Entry i
Material: Ho3Er2Th2
Method: DFT, PBE
State: optimized geometry

The structure in POSCAR format:
```
Ho3Er2Th2
1.0
5.8539 -1.7750 0.0000
5.8539 1.7750 0.0000
-1.0273 0.0000 10.5162
Ho Er Th
3 2 2
Cartesian
0.0000 0.0000 0.0000
1.0753 0.0000 6.0060
9.6051 0.0000 4.5102
3.1834 0.0000 1.5380
7.4971 0.0000 8.9782
4.3140 0.0000 7.5363
6.3664 0.0000 2.9800
```

Summary:
M_tot = 0.0 Bohr magnetons per cell
space-group type = No. 12
crystal system = monoclinic



Entry ii
Material: Ho3Er2Th2
Method: DFT, PBE
State: optimized geometry

The structure in POSCAR format:
```
Ho3Er2Th2
1.0
8.6572 -1.7162 0.0000
8.6572 1.7162 0.0000
-4.1419 0.0000 7.4593
Ho Er Th
3 2 2
Cartesian
0.0000 0.0000 0.0000
3.1857 0.0000 0.9746
9.9868 0.0000 6.4847
6.4044 0.0000 2.0797
6.7682 0.0000 5.3796
0.7101 0.0000 3.4218
12.4625 0.0000 4.0375
```

Summary:
M_tot = 0.0 Bohr magnetons per cell
space-group type = No. 12
crystal system = monoclinic



Short version: entry ii is the least stable of them.



Entry i
Material: Ho6ErTh3
Method: DFT, PBE
State: optimized geometry

The structure in POSCAR format:
```
Ho6ErTh3
1.0
4.9012 2.8297 3.9788
-4.9012 2.8297 3.9788
0.0000 -5.6594 3.9788
Ho Er Th
6 1 3
Cartesian
-3.2661 -0.0134 4.9923
-1.6214 -2.8352 6.9440
1.6447 -2.8218 4.9923
-1.6447 2.8218 6.9440
1.6214 2.8352 4.9923
3.2661 0.0134 6.9440
0.0000 0.0000 5.9682
0.0000 0.0000 0.0000
0.0000 0.0000 2.9962
0.0000 0.0000 8.9401
```

Summary:
M_tot = 0.0 Bohr magnetons per cell
space-group type = No. 148
crystal system = trigonal



Entry ii
Material: Ho6ErTh3
Method: DFT, PBE
State: optimized geometry

The structure in POSCAR format:
```
Ho6ErTh3
1.0
13.0688 0.0000 0.0000
0.0000 3.4995 0.0000
-4.6174 0.0000 13.8697
Ho Er Th
12 2 6
Cartesian
0.4255 0.8749 2.9007
-1.4862 2.6246 10.7593
0.3891 0.8749 8.3003
1.8830 2.6246 5.5415
3.6346 2.6246 2.6504
0.1542 0.8749 13.6755
8.2972 2.6246 0.1942
4.8168 0.8749 11.2194
6.5684 0.8749 8.3283
8.0623 2.6246 5.5695
9.9376 0.8749 3.1105
8.0259 2.6246 10.9691
1.7718 2.6246 11.1367
6.6796 0.8749 2.7330
-1.4462 2.6246 5.6872
-3.0921 2.6246 13.8178
3.6579 2.6246 8.3896
4.7935 0.8749 5.4801
11.5435 0.8749 0.0519
9.8976 0.8749 8.1825
```

Summary:
M_tot = 0.0 Bohr magnetons per cell
space-group type = No. 11
crystal system = monoclinic



Short version: entry i is the least stable of them.